1.
A plane-wave DFT calculation with GGA-PBE was carried out for a relaxed KErHgBr6 crystal.

Geometry as CIF:
```
data_KErHgBr6
_chemical_formula_sum 'K2 Er2 Hg2 Br12'
_space_group_name_H-M_alt 'P -3 1 c'
_space_group_IT_number 163
_space_group_name_Hall '-P 3 2c'
_cell_length_a 7.3037
_cell_length_b 7.3037
_cell_length_c 14.6315
_cell_angle_alpha 90.00
_cell_angle_beta 90.00
_cell_angle_gamma 120.00
loop_
_atom_site_label
_atom_site_type_symbol
_atom_site_fract_x
_atom_site_fract_y
_atom_site_fract_z
_atom_site_occupancy
K1 K 0.0000 0.0000 0.0000 1
Er1 Er 0.3333 0.6667 0.2500 1
Hg1 Hg 0.3333 0.6667 0.7500 1
Br1 Br 0.0077 0.3743 0.1382 1
```

Summary:
Electronic total energy ... -3.1388 eV per atom

2.
A plane-wave DFT calculation with GGA-PBE was carried out for a relaxed AcPr2Dy2 crystal.

Geometry as CIF:
```
data_AcPr2Dy2
_chemical_formula_sum 'Ac2 Pr4 Dy4'
_space_group_name_H-M_alt 'I 4/m m m'
_space_group_IT_number 139
_space_group_name_Hall '-I 4 2'
_cell_length_a 3.722
_cell_length_b 3.722
_cell_length_c 25.938
_cell_angle_alpha 90.00
_cell_angle_beta 90.00
_cell_angle_gamma 90.00
loop_
_atom_site_label
_atom_site_type_symbol
_atom_site_fract_x
_atom_site_fract_y
_atom_site_fract_z
_atom_site_occupancy
Ac1 Ac 0.000 0.000 0.000 1
Pr1 Pr 0.000 0.000 0.392 1
Dy1 Dy 0.000 0.000 0.204 1
```

Summary:
Energy relative to the lowest polymorph listed for this composition ... 0 kJ/mol of formula units
Energy relative to the elements ... 40 meV/atom
Electronic total energy ... -4.5348 eV per atom

3.
A plane-wave DFT calculation with GGA-PBE was carried out for a relaxed SiBiP3 crystal.

Geometry as CIF:
```
data_SiBiP3
_chemical_formula_sum 'Si1 Bi1 P3'
_space_group_name_H-M_alt 'P m -3 m'
_space_group_IT_number 221
_space_group_name_Hall '-P 4 2 3'
_cell_length_a 4.604
_cell_length_b 4.604
_cell_length_c 4.604
_cell_angle_alpha 90.00
_cell_angle_beta 90.00
_cell_angle_gamma 90.00
loop_
_atom_site_label
_atom_site_type_symbol
_atom_site_fract_x
_atom_site_fract_y
_atom_site_fract_z
_atom_site_occupancy
Si1 Si 0.000 0.000 0.000 1
Bi1 Bi 0.500 0.500 0.500 1
P1 P 0.000 0.000 0.500 1
```

Summary:
Energy relative to the lowest polymorph listed for this composition ... 0 kJ/mol of formula units
Electronic total energy ... -4.5593 eV per atom

4.
A plane-wave DFT calculation with GGA-PBE was carried out for a relaxed PmB5Rh7 crystal.

Geometry as CIF:
```
data_PmB5Rh7
_chemical_formula_sum 'Pm2 B10 Rh14'
_space_group_name_H-M_alt 'I m m 2'
_space_group_IT_number 44
_space_group_name_Hall 'I 2 -2'
_cell_length_a 4.963
_cell_length_b 8.377
_cell_length_c 7.737
_cell_angle_alpha 90.00
_cell_angle_beta 90.00
_cell_angle_gamma 90.00
loop_
_atom_site_label
_atom_site_type_symbol
_atom_site_fract_x
_atom_site_fract_y
_atom_site_fract_z
_atom_site_occupancy
Pm1 Pm 0.000 0.000 0.000 1
B1 B 0.000 0.500 0.295 1
B2 B 0.183 0.262 0.738 1
Rh1 Rh 0.000 0.000 0.335 1
Rh2 Rh 0.000 0.000 0.665 1
Rh3 Rh 0.000 0.293 0.448 1
Rh4 Rh 0.000 0.337 0.088 1
Rh5 Rh 0.000 0.500 0.760 1
```

Summary:
Energy relative to the elements ... -176 meV/atom
Electronic total energy ... -7.0683 eV per atom

5.
A plane-wave DFT calculation with GGA-PBE was carried out for a relaxed AcNd7Er3 crystal.

Geometry as CIF:
```
data_AcNd7Er3
_chemical_formula_sum 'Ac1 Nd7 Er3'
_space_group_name_H-M_alt 'P 3 m 1'
_space_group_IT_number 156
_space_group_name_Hall 'P 3 -2"'
_cell_length_a 7.2890
_cell_length_b 7.2890
_cell_length_c 8.7290
_cell_angle_alpha 90.00
_cell_angle_beta 90.00
_cell_angle_gamma 120.00
loop_
_atom_site_label
_atom_site_type_symbol
_atom_site_fract_x
_atom_site_fract_y
_atom_site_fract_z
_atom_site_occupancy
Ac1 Ac 0.0000 0.0000 0.0000 1
Nd1 Nd 0.0006 0.5003 0.0172 1
Nd2 Nd 0.3333 0.6667 0.6814 1
Nd3 Nd 0.3350 0.1675 0.6624 1
Er1 Er 0.1684 0.3368 0.3440 1
```

Summary:
Energy relative to the elements ... 202 meV/atom
Electronic total energy ... -4.4503 eV per atom

6.
A plane-wave DFT calculation with GGA-PBE was carried out for a relaxed Sc2TiMo crystal.

Geometry as CIF:
```
data_Sc2TiMo
_chemical_formula_sum 'Sc8 Ti4 Mo4'
_space_group_name_H-M_alt 'F m -3 m'
_space_group_IT_number 225
_space_group_name_Hall '-F 4 2 3'
_cell_length_a 6.741
_cell_length_b 6.741
_cell_length_c 6.741
_cell_angle_alpha 90.00
_cell_angle_beta 90.00
_cell_angle_gamma 90.00
loop_
_atom_site_label
_atom_site_type_symbol
_atom_site_fract_x
_atom_site_fract_y
_atom_site_fract_z
_atom_site_occupancy
Sc1 Sc 0.250 0.250 0.250 1
Ti1 Ti 0.000 0.000 0.000 1
Mo1 Mo 0.000 0.000 0.500 1
```

Summary:
Energy relative to the lowest polymorph listed for this composition ... 0 kJ/mol of formula units
Energy relative to the elements ... 263 meV/atom
Electronic total energy ... -7.5845 eV per atom

7.
A plane-wave DFT calculation with GGA-PBE was carried out for a relaxed Y2HgSe crystal.

Geometry as CIF:
```
data_Y2HgSe
_chemical_formula_sum 'Y8 Hg4 Se4'
_space_group_name_H-M_alt 'F m -3 m'
_space_group_IT_number 225
_space_group_name_Hall '-F 4 2 3'
_cell_length_a 7.342
_cell_length_b 7.342
_cell_length_c 7.342
_cell_angle_alpha 90.00
_cell_angle_beta 90.00
_cell_angle_gamma 90.00
loop_
_atom_site_label
_atom_site_type_symbol
_atom_site_fract_x
_atom_site_fract_y
_atom_site_fract_z
_atom_site_occupancy
Y1 Y 0.250 0.250 0.250 1
Hg1 Hg 0.000 0.000 0.000 1
Se1 Se 0.000 0.000 0.500 1
```

Summary:
Energy relative to the lowest polymorph listed for this composition ... 144 kJ/mol of formula units
Electronic total energy ... -4.9290 eV per atom

8.
A plane-wave DFT calculation with GGA-PBE was carried out for a relaxed Y2ErGaC crystal.

Geometry as CIF:
```
data_Y2ErGaC
_chemical_formula_sum 'Y2 Er1 Ga1 C1'
_space_group_name_H-M_alt 'P 4/m m m'
_space_group_IT_number 123
_space_group_name_Hall '-P 4 2'
_cell_length_a 4.869
_cell_length_b 4.869
_cell_length_c 4.812
_cell_angle_alpha 90.00
_cell_angle_beta 90.00
_cell_angle_gamma 90.00
loop_
_atom_site_label
_atom_site_type_symbol
_atom_site_fract_x
_atom_site_fract_y
_atom_site_fract_z
_atom_site_occupancy
Y1 Y 0.000 0.500 0.000 1
Er1 Er 0.000 0.000 0.500 1
Ga1 Ga 0.500 0.500 0.500 1
C1 C 0.000 0.000 0.000 1
```

Summary:
Energy relative to the elements ... -486 meV/atom
Electronic total energy ... -6.4341 eV per atom

9.
A plane-wave DFT calculation with GGA-PBE was carried out for a relaxed KSrAs3 crystal.

Geometry as CIF:
```
data_KSrAs3
_chemical_formula_sum 'K1 Sr1 As3'
_space_group_name_H-M_alt 'P m -3 m'
_space_group_IT_number 221
_space_group_name_Hall '-P 4 2 3'
_cell_length_a 5.756
_cell_length_b 5.756
_cell_length_c 5.756
_cell_angle_alpha 90.00
_cell_angle_beta 90.00
_cell_angle_gamma 90.00
loop_
_atom_site_label
_atom_site_type_symbol
_atom_site_fract_x
_atom_site_fract_y
_atom_site_fract_z
_atom_site_occupancy
K1 K 0.000 0.000 0.000 1
Sr1 Sr 0.500 0.500 0.500 1
As1 As 0.000 0.500 0.500 1
```

Summary:
Energy relative to the lowest polymorph listed for this composition ... 0 kJ/mol of formula units
Energy relative to the elements ... 366 meV/atom
Electronic total energy ... -2.9794 eV per atom

10.
A plane-wave DFT calculation with GGA-PBE was carried out for a relaxed KCaIF2 crystal.

Geometry as CIF:
```
data_KCaIF2
_chemical_formula_sum 'K1 Ca1 I1 F2'
_space_group_name_H-M_alt 'P 4/m m m'
_space_group_IT_number 123
_space_group_name_Hall '-P 4 2'
_cell_length_a 4.684
_cell_length_b 4.684
_cell_length_c 6.076
_cell_angle_alpha 90.00
_cell_angle_beta 90.00
_cell_angle_gamma 90.00
loop_
_atom_site_label
_atom_site_type_symbol
_atom_site_fract_x
_atom_site_fract_y
_atom_site_fract_z
_atom_site_occupancy
K1 K 0.000 0.000 0.000 1
Ca1 Ca 0.000 0.000 0.500 1
I1 I 0.500 0.500 0.500 1
F1 F 0.000 0.500 0.000 1
```

Summary:
Energy relative to the lowest polymorph listed for this composition ... 502 kJ/mol of formula units
Electronic total energy ... -3.3485 eV per atom

11.
A plane-wave DFT calculation with GGA-PBE was carried out for a relaxed Na2Sr2Pb crystal.

Geometry as CIF:
```
data_Na2Sr2Pb
_chemical_formula_sum 'Na4 Sr4 Pb2'
_space_group_name_H-M_alt 'P 4/m b m'
_space_group_IT_number 127
_space_group_name_Hall '-P 4 2ab'
_cell_length_a 8.168
_cell_length_b 8.168
_cell_length_c 5.551
_cell_angle_alpha 90.00
_cell_angle_beta 90.00
_cell_angle_gamma 90.00
loop_
_atom_site_label
_atom_site_type_symbol
_atom_site_fract_x
_atom_site_fract_y
_atom_site_fract_z
_atom_site_occupancy
Na1 Na 0.130 0.370 0.000 1
Sr1 Sr 0.195 0.695 0.500 1
Pb1 Pb 0.000 0.000 0.000 1
```

Summary:
Energy relative to the lowest polymorph listed for this composition ... 8 kJ/mol of formula units
Energy relative to the elements ... -111 meV/atom
Electronic total energy ... -2.0528 eV per atom

12.
A plane-wave DFT calculation with GGA-PBE was carried out for a relaxed U2Hg3I8 crystal.

Geometry as CIF:
```
data_U2Hg3I8
_chemical_formula_sum 'U4 Hg6 I16'
_space_group_name_H-M_alt 'C 1 2/m 1'
_space_group_IT_number 12
_space_group_name_Hall '-C 2y'
_cell_length_a 21.195
_cell_length_b 9.291
_cell_length_c 6.006
_cell_angle_alpha 90.00
_cell_angle_beta 99.17
_cell_angle_gamma 90.00
loop_
_atom_site_label
_atom_site_type_symbol
_atom_site_fract_x
_atom_site_fract_y
_atom_site_fract_z
_atom_site_occupancy
U1 U 0.229 0.000 0.387 1
Hg1 Hg 0.000 0.322 0.000 1
Hg2 Hg 0.000 0.500 0.500 1
I1 I 0.106 0.000 0.075 1
I2 I 0.161 0.271 0.547 1
I3 I 0.221 0.500 0.070 1
```

Summary:
Electronic total energy ... -3.2988 eV per atom

13.
A plane-wave DFT calculation with GGA-PBE was carried out for a relaxed K3RhN crystal.

Geometry as CIF:
```
data_K3RhN
_chemical_formula_sum 'K3 Rh1 N1'
_space_group_name_H-M_alt 'P m -3 m'
_space_group_IT_number 221
_space_group_name_Hall '-P 4 2 3'
_cell_length_a 5.455
_cell_length_b 5.455
_cell_length_c 5.455
_cell_angle_alpha 90.00
_cell_angle_beta 90.00
_cell_angle_gamma 90.00
loop_
_atom_site_label
_atom_site_type_symbol
_atom_site_fract_x
_atom_site_fract_y
_atom_site_fract_z
_atom_site_occupancy
K1 K 0.000 0.000 0.500 1
Rh1 Rh 0.500 0.500 0.500 1
N1 N 0.000 0.000 0.000 1
```

Summary:
Energy relative to the lowest polymorph listed for this composition ... 0 kJ/mol of formula units
Electronic total energy ... -2.8195 eV per atom